Compound: Ac2SbHPt6
Source: Alexandria via LeMat-Bulk
Functional: PBE
Structure: relaxed

abc: 5.945 5.945 7.256
angles: 114.29 114.29 60.05
Fractional coordinates of all 10 atoms:
1 Ac 0.227 0.227 0.181
2 Ac 0.773 0.773 0.819
3 Sb 0.500 0.500 0.000
4 H 0.000 0.000 0.500
5 Pt 0.225 0.225 0.679
6 Pt 0.226 0.728 0.679
7 Pt 0.272 0.774 0.321
8 Pt 0.728 0.226 0.679
9 Pt 0.774 0.272 0.321
10 Pt 0.775 0.775 0.321

## Properties
VASP energy	-59.10	eV for the cell shown
total magnetic moment	0.00	μB/cell



Compound: Ac2Sb2H4Pt
Source: Alexandria via LeMat-Bulk
Functional: PBE
Structure: relaxed

abc: 6.357 6.357 6.357
angles: 119.72 119.72 90.49
Fractional coordinates of all 9 atoms:
1 Ac 0.250 0.750 0.500
2 Ac 0.750 0.250 0.500
3 Sb 0.174 0.174 0.000
4 Sb 0.826 0.826 0.000
5 H 0.314 0.314 0.628
6 H 0.314 0.686 0.000
7 H 0.686 0.314 0.000
8 H 0.686 0.686 0.372
9 Pt 0.500 0.500 0.000

## Properties
VASP energy	-40.31	eV for the cell shown
total magnetic moment	0.00	μB/cell



Compound: Ac2SiHPt6
Source: Alexandria via LeMat-Bulk
Functional: PBE
Structure: relaxed

abc: 5.918 5.950 6.898
angles: 64.75 64.68 60.28
Fractional coordinates of all 10 atoms:
1 Ac 0.000 0.000 0.000
2 Ac 0.451 0.451 0.646
3 Si 0.725 0.725 0.824
4 H 0.306 0.297 0.087
5 Pt 0.459 0.459 0.144
6 Pt 0.462 0.931 0.145
7 Pt 0.491 0.991 0.526
8 Pt 0.936 0.460 0.144
9 Pt 0.990 0.491 0.527
10 Pt 0.991 0.991 0.527

## Properties
VASP energy	-61.98	eV for the cell shown
total magnetic moment	0.00	μB/cell



Compound: AcSi2H2Pt6
Source: Alexandria via LeMat-Bulk
Functional: PBE
Structure: relaxed

abc: 5.862 5.888 6.404
angles: 66.89 66.70 62.88
Fractional coordinates of all 11 atoms:
1 Ac 0.000 0.000 0.000
2 Si 0.369 0.368 0.344
3 Si 0.631 0.632 0.656
4 H 0.294 0.294 0.758
5 H 0.706 0.706 0.242
6 Pt 0.065 0.619 0.628
7 Pt 0.378 0.374 0.957
8 Pt 0.380 0.936 0.374
9 Pt 0.620 0.064 0.626
10 Pt 0.622 0.626 0.043
11 Pt 0.935 0.381 0.372

## Properties
VASP energy	-64.86	eV for the cell shown
total magnetic moment	0.00	μB/cell



Q: Which of these has the lowest VASP energy?
A: AcSi2H2Pt6



Q: Which value of VASP energy does entry 3 give?
A: -61.98 eV for the cell shown